Record 1
Compound: Ce6AsP5
Source: Alexandria
Functional: GGA-PBE
Structure: optimized geometry

Properties
Energy of formation   -1482 meV per atom
Space-group type   C2/m, No. 12

abc: 7.1225 7.1225 7.1210
angles: 99.60 99.60 119.99
Closest atoms and distances in Å follow each position.
Atoms (fractional coordinates):
Ce: 0.0775 0.4156 0.7471  5 P 2.88-2.91, 1 As 2.95
Ce: 0.2460 0.2460 0.2525  5 P 2.87-2.90, 1 As 2.95
Ce: 0.4156 0.0775 0.7471  5 P 2.88-2.91, 1 As 2.95
Ce: 0.5844 0.9225 0.2529  5 P 2.88-2.91, 1 As 2.95
Ce: 0.7540 0.7540 0.7475  5 P 2.87-2.90, 1 As 2.95
Ce: 0.9225 0.5844 0.2529  5 P 2.88-2.91, 1 As 2.95
As: 0.5000 0.5000 0.0000  6 Ce 2.95
P: 0.0000 0.0000 0.5000  6 Ce 2.87-2.91
P: 0.1668 0.8332 0.0000  6 Ce 2.90
P: 0.3349 0.6651 0.5000  6 Ce 2.88-2.91
P: 0.6651 0.3349 0.5000  6 Ce 2.88-2.91
P: 0.8332 0.1668 0.0000  6 Ce 2.90


Record 2
Compound: Ce3AsP
Source: Alexandria
Functional: GGA-PBE
Structure: optimized geometry

Properties
Energy of formation   -1016 meV per atom
Space-group type   P2_1/m, No. 11

abc: 8.2588 4.0183 8.4948
angles: 90.00 103.40 90.00
Closest atoms and distances in Å follow each position.
Atoms (fractional coordinates):
Ce: 0.0238 0.2500 0.1912  1 P 2.79, 1 Ce 2.85, 2 As 3.09
Ce: 0.3274 0.2500 0.6023  2 P 2.85, 3 As 2.97-2.99
Ce: 0.3280 0.2500 0.0864  3 P 2.83-2.90, 1 Ce 2.85, 2 As 2.99
Ce: 0.6720 0.7500 0.9136  3 P 2.83-2.90, 1 Ce 2.85, 2 As 2.99
Ce: 0.6726 0.7500 0.3977  2 P 2.85, 3 As 2.97-2.99
Ce: 0.9762 0.7500 0.8088  1 P 2.79, 1 Ce 2.85, 2 As 3.09
As: 0.3013 0.7500 0.3400  7 Ce 2.97-3.09
As: 0.6987 0.2500 0.6600  7 Ce 2.97-3.09
P: 0.3196 0.7500 0.8388  6 Ce 2.79-2.90
P: 0.6804 0.2500 0.1612  6 Ce 2.79-2.90


Record 3
Compound: Ce3As2P
Source: Alexandria
Functional: GGA-PBE
Structure: optimized geometry

Properties
Energy of formation   -1443 meV per atom
Space-group type   Immm, No. 71

abc: 7.2341 7.2341 7.2341
angles: 146.48 131.80 59.99
Closest atoms and distances in Å follow each position.
Atoms (fractional coordinates):
Ce: 0.0000 0.0000 0.0000  2 P 2.95, 4 As 2.97
Ce: 0.3383 0.3383 0.0000  2 P 2.91, 4 As 2.96-2.98
Ce: 0.6617 0.6617 0.0000  2 P 2.91, 4 As 2.96-2.98
As: 0.1683 0.6683 0.5000  6 Ce 2.96-2.98
As: 0.8317 0.3317 0.5000  6 Ce 2.96-2.98
P: 0.5000 0.0000 0.5000  6 Ce 2.91-2.95


Record 4
Compound: CeAs2P2Pd7
Source: Alexandria
Functional: GGA-PBE
Structure: optimized geometry

Properties
Energy of formation   -452 meV per atom
Space-group type   C2/m, No. 12

abc: 4.7627 4.7627 9.5307
angles: 91.34 91.34 90.68
Closest atoms and distances in Å follow each position.
Atoms (fractional coordinates):
Ce: 0.0000 0.0000 0.0000  2 P 2.86
As: 0.0743 0.0743 0.6492  6 Pd 2.47-2.67
As: 0.9257 0.9257 0.3508  6 Pd 2.47-2.67
P: 0.3233 0.3233 0.2040  6 Pd 2.31-2.52
P: 0.6767 0.6767 0.7960  6 Pd 2.31-2.52
Pd: 0.1808 0.5895 0.7367  2 P 2.44-2.52, 2 As 2.53-2.61
Pd: 0.3027 0.3027 0.4508  1 P 2.36, 1 As 2.47
Pd: 0.4105 0.8192 0.2633  2 P 2.44-2.52, 2 As 2.53-2.61
Pd: 0.5000 0.5000 0.0000  2 P 2.31
Pd: 0.5895 0.1808 0.7367  2 P 2.44-2.52, 2 As 2.53-2.61
Pd: 0.6973 0.6973 0.5492  1 P 2.36, 1 As 2.47
Pd: 0.8192 0.4105 0.2633  2 P 2.44-2.52, 2 As 2.53-2.61


Record 5
Compound: CeAsPPd2
Source: Alexandria
Functional: GGA-PBE
Structure: optimized geometry

Properties
Energy of formation   -723 meV per atom
Space-group type   I4cm, No. 108

abc: 7.2198 7.2198 7.2198
angles: 131.14 131.14 71.59
Closest atoms and distances in Å follow each position.
Atoms (fractional coordinates):
Ce: 0.0000 0.0000 0.0000  2 P 2.77-3.09, 4 As 2.99
Ce: 0.5000 0.5000 0.0000  2 P 2.77-3.09, 4 As 2.99
As: 0.0126 0.5126 0.5000  2 Pd 2.68, 4 Ce 2.99
As: 0.5126 0.0126 0.5000  2 Pd 2.68, 4 Ce 2.99
P: 0.2634 0.2634 0.0000  4 Pd 2.32
P: 0.7634 0.7634 0.0000  4 Pd 2.32
Pd: 0.0434 0.5434 0.1699  2 P 2.32
Pd: 0.3735 0.8735 0.8301  2 P 2.32
Pd: 0.5434 0.3735 0.5000  2 P 2.32
Pd: 0.8735 0.0434 0.5000  2 P 2.32


Record 6
Compound: Ce2AsP3Pt4
Source: Alexandria
Functional: GGA-PBE
Structure: optimized geometry

Properties
Energy of formation   -931 meV per atom
Space-group type   P-4m2, No. 115

abc: 4.3917 4.3917 9.4620
angles: 90.00 90.00 90.00
Closest atoms and distances in Å follow each position.
Atoms (fractional coordinates):
Ce: 0.0000 0.5000 0.2502  2 As 3.23, 7 P 3.23-3.57, 9 Pt 3.23-3.53
Ce: 0.5000 0.0000 0.7498  2 As 3.23, 7 P 3.23-3.57, 9 Pt 3.23-3.53
As: 0.0000 0.0000 0.5000  4 Pt 2.49
P: 0.0000 0.5000 0.8730  5 Pt 2.36-2.50
P: 0.5000 0.0000 0.1270  5 Pt 2.36-2.50
P: 0.5000 0.5000 0.5000  4 Pt 2.49
Pt: 0.0000 0.0000 0.0000  4 P 2.50
Pt: 0.0000 0.5000 0.6237  3 P 2.36-2.49, 2 As 2.49
Pt: 0.5000 0.0000 0.3763  3 P 2.36-2.49, 2 As 2.49
Pt: 0.5000 0.5000 0.0000  4 P 2.50


Record 7
Compound: CePuAsP
Source: Alexandria
Functional: GGA-PBE
Structure: optimized geometry

Properties
Energy of formation   -1253 meV per atom
Space-group type   P4/mmm, No. 123

abc: 4.1184 4.1184 5.8332
angles: 90.00 90.00 90.00
Closest atoms and distances in Å follow each position.
Atoms (fractional coordinates):
Ce: 0.0000 0.0000 0.0000  4 As 2.91, 2 P 2.92
Pu: 0.5000 0.5000 0.5000  4 P 2.91, 2 As 2.92
As: 0.5000 0.5000 0.0000  4 Ce 2.91, 2 Pu 2.92
P: 0.0000 0.0000 0.5000  4 Pu 2.91, 2 Ce 2.92


Record 8
Compound: Ce2AsPRh6
Source: Alexandria
Functional: GGA-PBE
Structure: optimized geometry

Properties
Energy of formation   -731 meV per atom
Space-group type   Pmmn, No. 59

abc: 5.5438 8.5214 7.7824
angles: 90.00 90.00 90.00
Closest atoms and distances in Å follow each position.
Atoms (fractional coordinates):
Ce: 0.2500 0.0020 0.2323  11 Rh 2.95-3.29
Ce: 0.2500 0.4980 0.2323  11 Rh 2.95-3.29
Ce: 0.7500 0.5020 0.7677  11 Rh 2.95-3.29
Ce: 0.7500 0.9980 0.7677  11 Rh 2.95-3.29
As: 0.2500 0.7500 0.7697  6 Rh 2.43-2.52
As: 0.7500 0.2500 0.2303  6 Rh 2.43-2.52
P: 0.2500 0.2500 0.7414  6 Rh 2.28-2.36
P: 0.7500 0.7500 0.2586  6 Rh 2.28-2.36
Rh: 0.0012 0.7500 0.0265  1 P 2.28, 1 As 2.43
Rh: 0.0022 0.7500 0.4985  1 P 2.33, 1 As 2.52
Rh: 0.2500 0.0005 0.6111  1 P 2.36, 1 As 2.47
Rh: 0.2500 0.4995 0.6111  1 P 2.36, 1 As 2.47
Rh: 0.4978 0.7500 0.4985  1 P 2.33, 1 As 2.52
Rh: 0.4988 0.7500 0.0265  1 P 2.28, 1 As 2.43
Rh: 0.5012 0.2500 0.9735  1 P 2.28, 1 As 2.43
Rh: 0.5022 0.2500 0.5015  1 P 2.33, 1 As 2.52
Rh: 0.7500 0.5005 0.3889  1 P 2.36, 1 As 2.47
Rh: 0.7500 0.9995 0.3889  1 P 2.36, 1 As 2.47
Rh: 0.9978 0.2500 0.5015  1 P 2.33, 1 As 2.52
Rh: 0.9988 0.2500 0.9735  1 P 2.28, 1 As 2.43


Record 9
Compound: Ce2As3PRh4
Source: Alexandria
Functional: GGA-PBE
Structure: optimized geometry

Properties
Energy of formation   -973 meV per atom
Space-group type   P-4m2, No. 115

abc: 4.2756 4.2756 9.7751
angles: 90.00 90.00 90.00
Closest atoms and distances in Å follow each position.
Atoms (fractional coordinates):
Ce: 0.0000 0.5000 0.2417  6 As 3.19-3.24, 2 P 3.19, 9 Rh 3.28-3.45
Ce: 0.5000 0.0000 0.7583  2 P 3.19, 6 As 3.19-3.24, 9 Rh 3.28-3.45
As: 0.0000 0.0000 0.0000  4 Rh 2.40
As: 0.0000 0.5000 0.6396  5 Rh 2.43-2.54
As: 0.5000 0.0000 0.3604  5 Rh 2.43-2.54
P: 0.5000 0.5000 0.0000  4 Rh 2.40
Rh: 0.0000 0.0000 0.5000  4 As 2.54
Rh: 0.0000 0.5000 0.8885  2 P 2.40, 3 As 2.40-2.43
Rh: 0.5000 0.0000 0.1115  3 As 2.40-2.43, 2 P 2.40
Rh: 0.5000 0.5000 0.5000  4 As 2.54


Record 10
Compound: Ce2AsP3Rh4
Source: Alexandria
Functional: GGA-PBE
Structure: optimized geometry

Properties
Energy of formation   -1053 meV per atom
Space-group type   P-4m2, No. 115

abc: 4.1886 4.1886 9.6554
angles: 90.00 90.00 90.00
Closest atoms and distances in Å follow each position.
Atoms (fractional coordinates):
Ce: 0.0000 0.5000 0.2475  6 P 3.17-3.18, 2 As 3.18, 8 Rh 3.19-3.21
Ce: 0.5000 0.0000 0.7525  6 P 3.17-3.18, 2 As 3.18, 8 Rh 3.19-3.21
As: 0.5000 0.5000 0.0000  4 Rh 2.41
P: 0.0000 0.0000 0.0000  4 Rh 2.41
P: 0.0000 0.5000 0.6353  5 Rh 2.33-2.47
P: 0.5000 0.0000 0.3647  5 Rh 2.33-2.47
Rh: 0.0000 0.0000 0.5000  4 P 2.47
Rh: 0.0000 0.5000 0.8764  3 P 2.33-2.41, 2 As 2.41
Rh: 0.5000 0.0000 0.1236  3 P 2.33-2.41, 2 As 2.41
Rh: 0.5000 0.5000 0.5000  4 P 2.47


Record 11
Compound: Ce4AsPS2
Source: Alexandria
Functional: GGA-PBE
Structure: optimized geometry

Properties
Uncorrected formation energy   -1758.9 meV/atom
Space-group type   P2/m, No. 10

abc: 7.0630 4.0973 7.1071
angles: 90.00 109.52 90.00
Closest atoms and distances in Å follow each position.
Atoms (fractional coordinates):
Ce: 0.2445 0.0000 0.2430  3 S 2.86-2.90, 1 P 2.89, 2 As 2.93
Ce: 0.2485 0.5000 0.7546  3 S 2.86-2.90, 2 P 2.89, 1 As 2.93
Ce: 0.7515 0.5000 0.2454  3 S 2.86-2.90, 2 P 2.89, 1 As 2.93
Ce: 0.7555 0.0000 0.7570  3 S 2.86-2.90, 1 P 2.89, 2 As 2.93
As: 0.5000 0.5000 0.5000  6 Ce 2.93
P: 0.5000 0.0000 0.0000  6 Ce 2.89
S: 0.0000 0.0000 0.5000  6 Ce 2.90
S: 0.0000 0.5000 0.0000  6 Ce 2.86


Record 12
Compound: Ce6As3P2S
Source: Alexandria
Functional: GGA-PBE
Structure: optimized geometry

Properties
Uncorrected formation energy   -1554.1 meV/atom
Space-group type   C2/m, No. 12

abc: 9.2717 9.2717 8.2901
angles: 103.00 103.00 25.84
Closest atoms and distances in Å follow each position.
Atoms (fractional coordinates):
Ce: 0.0021 0.0021 0.2465  1 P 2.89, 2 S 2.90, 3 As 2.96
Ce: 0.3313 0.3313 0.4216  3 P 2.90, 3 As 2.97
Ce: 0.3348 0.3348 0.9114  2 P 2.89, 1 S 2.90, 3 As 2.96
Ce: 0.6652 0.6652 0.0886  2 P 2.89, 1 S 2.90, 3 As 2.96
Ce: 0.6687 0.6687 0.5784  3 P 2.90, 3 As 2.97
Ce: 0.9979 0.9979 0.7535  1 P 2.89, 2 S 2.90, 3 As 2.96
As: 0.1663 0.1663 0.8336  6 Ce 2.96-2.97
As: 0.5000 0.5000 0.5000  6 Ce 2.96-2.97
As: 0.8337 0.8337 0.1664  6 Ce 2.96-2.97
P: 0.1664 0.1664 0.3325  6 Ce 2.89-2.90
P: 0.8336 0.8336 0.6675  6 Ce 2.89-2.90
S: 0.5000 0.5000 0.0000  6 Ce 2.90


Number 1: DOS(E_F) 2.03 states/eV/atom. Number 2: DOS(E_F) 2.70 states/eV/atom. Number 3: DOS(E_F) 2.34 states/eV/atom. Number 4: DOS(E_F) 0.88 states/eV/atom. Number 5: DOS(E_F) 1.15 states/eV/atom. Number 6: DOS(E_F) 1.25 states/eV/atom. Number 7: DOS(E_F) 3.39 states/eV/atom. Number 8: DOS(E_F) 0.76 states/eV/atom. Number 9: DOS(E_F) 1.07 states/eV/atom. Number 10: DOS(E_F) 0.84 states/eV/atom. Number 11: DOS(E_F) 2.46 states/eV/atom. Number 12: DOS(E_F) 2.30 states/eV/atom.